Entry from Alexandria: a relaxed structure of Zr2TcOs (PBEsol).

a = 3.0786 Å, b = 4.3000 Å, c = 5.3729 Å
α = 90.00°, β = 90.00°, γ = 90.00°
Closest atoms and distances in Å follow each position.
Sites, in units of the cell vectors:
Zr  0.0000  0.0000  0.0000  2 Os 2.65-2.72, 4 Tc 2.80
Zr  0.5000  0.5000  0.3365  2 Tc 2.66-2.72, 4 Os 2.80
Tc  0.5000  0.5000  0.8308  6 Zr 2.66-2.80
Os  0.0000  0.0000  0.5060  6 Zr 2.65-2.80

Summary:
formation energy	19	meV/atom
total moment	0.0	μB per cell
final energy	-41.588	eV for the cell shown



Entry from Alexandria: a relaxed structure of SrLi2Mn (PBEsol).

a = 3.6086 Å, b = 3.6086 Å, c = 7.4693 Å
α = 90.00°, β = 90.00°, γ = 90.00°
Closest atoms and distances in Å follow each position.
Sites, in units of the cell vectors:
Sr  0.0000  0.0000  0.0000  4 Mn 3.32, 5 Li 3.42-3.61, 4 Sr 3.61
Li  0.0000  0.0000  0.4579  4 Mn 2.86, 4 Li 2.96
Li  0.5000  0.5000  0.6584  1 Mn 2.79, 4 Li 2.96
Mn  0.5000  0.5000  0.2846  5 Li 2.79-2.86

Summary:
energy relative to the lowest polymorph listed for this composition	0.0	meV/atom
formation energy	450	meV/atom
total moment	3.7	μB per cell
final energy	-13.736	eV for the cell shown



Entry from Alexandria: a relaxed structure of Bi3Sb5Pb4O21 (PBEsol).

a = 7.3525 Å, b = 7.3660 Å, c = 10.0273 Å
α = 89.65°, β = 89.53°, γ = 60.54°
Closest atoms and distances in Å follow each position.
Sites, in units of the cell vectors:
Bi  0.0000  0.0000  0.0000  3 O 2.17-2.33
Bi  0.1760  0.1305  0.2860  5 O 2.21-2.40
Bi  0.7186  0.5731  0.2811  5 O 2.24-2.45
Sb  0.2145  0.6161  0.3442  6 O 1.99-2.02
Sb  0.3796  0.2814  0.6457  6 O 1.98-2.00
Sb  0.3815  0.7834  0.6432  6 O 1.99-2.01
Sb  0.5445  0.9469  0.9495  6 O 1.98-2.02
Sb  0.8817  0.7827  0.6468  6 O 1.98-2.01
Pb  0.0322  0.4525  0.9805  4 O 2.35-2.60
Pb  0.5176  0.4661  0.9675  2 O 2.31-2.54
Pb  0.6994  0.1070  0.3211  2 O 2.34-2.56
Pb  0.8818  0.2827  0.6448  8 O 2.43-2.65
O  0.0820  0.4828  0.2409  1 Sb 1.99
O  0.0822  0.4847  0.6913  2 Sb 2.00
O  0.0836  0.8797  0.6882  2 Sb 1.99
O  0.0849  0.8780  0.2351  1 Sb 2.00
O  0.2832  0.0810  0.5998  2 Sb 1.98-1.99
O  0.2838  0.0721  0.0564  1 Sb 1.98
O  0.3479  0.3526  0.4532  2 Sb 1.98-2.01
O  0.3558  0.7456  0.4480  2 Sb 2.00-2.02
O  0.4161  0.2081  0.8379  2 Sb 1.98-2.01
O  0.4158  0.8147  0.8378  2 Sb 2.00-2.01
O  0.4736  0.4859  0.6910  2 Sb 2.00-2.01
O  0.4775  0.4802  0.2353  1 Sb 2.00
O  0.6725  0.6828  0.0554  1 Sb 2.00
O  0.6730  0.0804  0.0575  1 Sb 1.99
O  0.6778  0.0798  0.5993  2 Sb 2.00-2.01
O  0.6808  0.6853  0.6038  2 Sb 1.98-1.99
O  0.8123  0.8236  0.8415  2 Sb 2.00-2.02
O  0.8571  0.2894  0.8872  1 Bi 2.17, 2 Pb 2.31-2.35
O  0.8731  0.2785  0.4012  2 Bi 2.24-2.25, 2 Pb 2.34-2.45
O  0.9076  0.2748  0.1481  3 Bi 2.21-2.35
O  0.9520  0.7510  0.4535  2 Sb 1.99-2.00

Summary:
formation energy (no corrections)	-1.385	eV/atom
total moment	0.0	μB per cell
final energy	-207.593	eV for the cell shown



Entry from Alexandria: a relaxed structure of TlHgPb2 (PBEsol).

a = 3.3441 Å, b = 3.3441 Å, c = 10.6666 Å
α = 90.00°, β = 90.00°, γ = 111.63°
Closest atoms and distances in Å follow each position.
Sites, in units of the cell vectors:
Tl  0.0000  0.0000  0.0000  2 Hg 3.12, 4 Tl 3.34, 2 Pb 3.38
Hg  0.5000  0.5000  0.2335  2 Tl 3.12, 2 Pb 3.19, 4 Hg 3.34
Pb  0.0000  0.0000  0.4748  2 Hg 3.19, 6 Pb 3.34-3.37
Pb  0.5000  0.5000  0.7367  6 Pb 3.34-3.37, 2 Tl 3.38

Summary:
formation energy	15	meV/atom
total moment	0.0	μB per cell
final energy	-11.133	eV for the cell shown



Entry from Alexandria: a relaxed structure of In3Pb (PBEsol).

a = 3.3015 Å, b = 5.6039 Å, c = 5.7396 Å
α = 90.00°, β = 90.00°, γ = 90.00°
Closest atoms and distances in Å follow each position.
Sites, in units of the cell vectors:
In  0.0000  0.0000  0.0000  8 In 3.29-3.38, 4 Pb 3.40
In  0.0000  0.5000  0.3307  8 In 3.30-3.39, 4 Pb 3.30-3.32
In  0.5000  0.0000  0.4949  10 In 3.29-3.39, 2 Pb 3.40
Pb  0.5000  0.5000  0.8292  2 Pb 3.30, 10 In 3.30-3.40

Summary:
formation energy	26	meV/atom
total moment	0.0	μB per cell
final energy	-12.845	eV for the cell shown



Entry from Alexandria: a relaxed structure of CrFe2Tc (PBEsol).

a = 4.3586 Å, b = 4.3586 Å, c = 4.3586 Å
α = 131.78°, β = 131.78°, γ = 70.57°
Closest atoms and distances in Å follow each position.
Sites, in units of the cell vectors:
Cr  0.0000  0.0000  0.0000  8 Fe 2.52, 4 Tc 2.52
Fe  0.2500  0.7500  0.5000  4 Tc 2.52, 4 Cr 2.52, 4 Fe 2.52
Fe  0.7500  0.2500  0.5000  4 Tc 2.52, 4 Cr 2.52, 4 Fe 2.52
Tc  0.5000  0.5000  0.0000  8 Fe 2.52, 4 Cr 2.52

Summary:
formation energy	71	meV/atom
total moment	1.0	μB per cell
final energy	-39.152	eV for the cell shown



Entry from Alexandria: a relaxed structure of LiMo3 (PBEsol).

a = 2.6641 Å, b = 2.6641 Å, c = 9.0915 Å
α = 90.00°, β = 90.00°, γ = 108.38°
Closest atoms and distances in Å follow each position.
Sites, in units of the cell vectors:
Li  0.0000  0.0000  0.0000  4 Li 2.66, 4 Mo 2.83
Mo  0.0000  0.0000  0.5000  8 Mo 2.66-2.69
Mo  0.5000  0.5000  0.2594  6 Mo 2.66-2.69, 2 Li 2.83
Mo  0.5000  0.5000  0.7406  6 Mo 2.66-2.69, 2 Li 2.83

Summary:
energy relative to the lowest polymorph listed for this composition	0.0	meV/atom
formation energy	273	meV/atom
total moment	0.0	μB per cell
final energy	-36.180	eV for the cell shown



Entry from Alexandria: a relaxed structure of PtBr3 (PBEsol).

a = 7.8142 Å, b = 7.8142 Å, c = 3.4146 Å
α = 90.00°, β = 90.00°, γ = 86.23°
Closest atoms and distances in Å follow each position.
Sites, in units of the cell vectors:
Pt  0.1002  0.8998  0.7500  3 Br 2.39-2.45
Pt  0.8998  0.1002  0.2500  3 Br 2.39-2.45
Br  0.0877  0.3287  0.2500  1 Pt 2.39
Br  0.3287  0.0877  0.7500  1 Pt 2.39
Br  0.3296  0.6704  0.7500  1 Pt 2.45
Br  0.6704  0.3296  0.2500  1 Pt 2.45
Br  0.6713  0.9123  0.2500  1 Pt 2.39
Br  0.9123  0.6713  0.7500  1 Pt 2.39

Summary:
formation energy (no corrections)	0.096	eV/atom
total moment	0.0	μB per cell
final energy	-24.383	eV for the cell shown



Entry from Alexandria: a relaxed structure of TaTcRh2 (PBEsol).

a = 9.1549 Å, b = 9.1549 Å, c = 9.1549 Å
α = 17.22°, β = 17.22°, γ = 17.22°
Closest atoms and distances in Å follow each position.
Sites, in units of the cell vectors:
Ta  0.0000  0.0000  0.0000  3 Rh 2.72, 6 Ta 2.74, 3 Tc 2.91
Tc  0.7571  0.7571  0.7571  3 Rh 2.61, 6 Tc 2.74, 3 Ta 2.91
Rh  0.2517  0.2517  0.2517  3 Ta 2.72, 9 Rh 2.74-2.78
Rh  0.5006  0.5006  0.5006  3 Tc 2.61, 9 Rh 2.74-2.78

Summary:
energy relative to the lowest polymorph listed for this composition	365.8	meV/atom
formation energy	-45	meV/atom
total moment	0.0	μB per cell
final energy	-40.273	eV for the cell shown



Entry from Alexandria: a relaxed structure of KTl2Os (PBEsol).

a = 3.1638 Å, b = 3.1638 Å, c = 9.1384 Å
α = 90.00°, β = 90.00°, γ = 90.00°
Closest atoms and distances in Å follow each position.
Sites, in units of the cell vectors:
K  0.0000  0.0000  0.0000  4 K 3.16, 8 Tl 3.52
Tl  0.5000  0.5000  0.2980  4 Os 2.90, 4 Tl 3.16
Tl  0.5000  0.5000  0.7020  4 Os 2.90, 4 Tl 3.16
Os  0.0000  0.0000  0.5000  8 Tl 2.90, 4 Os 3.16

Summary:
energy relative to the lowest polymorph listed for this composition	12.2	meV/atom
formation energy	567	meV/atom
total moment	0.0	μB per cell
final energy	-16.342	eV for the cell shown